The following is a PBE with a Hubbard U calculation of Fe2MoPbO6 after structural relaxation, from Alexandria.

a b c (Å): 7.081 7.767 7.767
angles (deg): 78.56 66.99 66.99
Site moments in Bohr magnetons follow the coordinates.
Atoms (fractional coordinates):
O: 0.012 0.370 0.804  0.02
O: 0.988 0.630 0.196  0.02
Fe: 0.853 0.657 0.727  3.75
O: 0.615 0.587 0.722  0.06
O: 0.288 0.186 0.037  0.01
Mo: 0.250 0.175 0.825  0.10
O: 0.385 0.413 0.278  0.06
O: 0.212 0.963 0.814  0.01
O: 0.788 0.037 0.186  0.01
O: 0.712 0.814 0.963  0.01
O: 0.512 0.804 0.370  0.02
Fe: 0.353 0.727 0.657  3.75
Pb: 0.750 0.270 0.730  0.01
Fe: 0.647 0.273 0.343  3.75
O: 0.885 0.278 0.413  0.06
O: 0.488 0.196 0.630  0.02
Pb: 0.250 0.730 0.270  0.01
O: 0.115 0.722 0.587  0.06
Mo: 0.750 0.825 0.175  0.10
Fe: 0.147 0.343 0.273  3.75

symmetry = C2/c
N(E_F) = 0.000 states/eV/f.u.
density = 4.694 g/cm³
energy = -6.581 eV per atom